Entry 1:
The following is a SCAN calculation of SrBiRu3 at its PBEsol-relaxed geometry, from Alexandria.

It has space group Pm-3m (No. 221), with a = 4.9813 Å, b = 4.9813 Å, c = 4.9813 Å, α = 90.00°, β = 90.00° and γ = 90.00°. Symmetry generates all atoms from Sr at (0.0000, 0.0000, 0.0000), Bi at (0.5000, 0.5000, 0.5000) and Ru at (0.0000, 0.5000, 0.5000).

The calculation puts the distance to the lowest polymorph of the same formula at 0.0 kJ per mole of atoms.

Entry 2:
The following is a SCAN calculation of SrBi2Ru2 at its PBEsol-relaxed geometry, from Alexandria.

It has space group I4/mmm (No. 139), with a = 4.8385 Å, b = 4.8385 Å, c = 10.0708 Å, α = 90.00°, β = 90.00° and γ = 90.00°. Symmetry generates all atoms from Sr at (0.0000, 0.0000, 0.0000), Bi at (0.0000, 0.5000, 0.2500) and Ru at (0.0000, 0.0000, 0.3862).

Entry 3:
The following is a SCAN calculation of SrBi2Ru at its PBEsol-relaxed geometry, from Alexandria.

It has space group I-42d (No. 122), with a = 8.3112 Å, b = 8.3112 Å, c = 6.4287 Å, α = 90.00°, β = 90.00° and γ = 90.00°. Symmetry generates all atoms from Sr at (0.0000, 0.0000, 0.0000), Bi at (0.1785, 0.7500, 0.6250) and Ru at (0.0000, 0.0000, 0.5000).

The calculation puts the distance to the lowest polymorph of the same formula at 0.0 kJ per mole of atoms.

Entry 4:
The following is a SCAN calculation of TcBiRu3 at its PBEsol-relaxed geometry, from Alexandria.

It has space group Pm-3m (No. 221), with a = 4.5991 Å, b = 4.5991 Å, c = 4.5991 Å, α = 90.00°, β = 90.00° and γ = 90.00°. Symmetry generates all atoms from Tc at (0.0000, 0.0000, 0.0000), Bi at (0.5000, 0.5000, 0.5000) and Ru at (0.0000, 0.0000, 0.5000).

no.,volume (Å³/f.u.),E_form (eV/atom),E_tot (eV for the cell shown)
1,124,1.35,-198.57
2,118,-0.03,-498.44
3,111,-0.11,-858.79
4,97,1.44,-210.93